a:
{"formula": "LaNi3F", "functional": "PBE+U", "state": "relaxed", "cell": [[4.441, 0.000, 0.000], [0.000, 4.441, 0.000], [0.000, 0.000, 4.441]], "species": ["La", "Ni", "Ni", "Ni", "F"], "frac_coords": [[0.000, 0.000, 0.000], [0.000, 0.500, 0.500], [0.500, 0.000, 0.500], [0.500, 0.500, 0.000], [0.500, 0.500, 0.500]], "density_g_cm3": 6.33, "dos_at_fermi_per_ev_cell": 3.26, "magnetic_moment_mub_per_fu": 2.0, "vol_a3_per_fu": 87.57}


b:
{"formula": "LaNi3F", "functional": "PBE+U", "state": "relaxed", "cell": [[4.668, 0.000, 0.000], [0.000, 4.668, 0.000], [0.000, 0.000, 4.668]], "species": ["La", "Ni", "Ni", "Ni", "F"], "frac_coords": [[0.000, 0.000, 0.000], [0.000, 0.000, 0.500], [0.000, 0.500, 0.000], [0.500, 0.000, 0.000], [0.500, 0.500, 0.500]], "density_g_cm3": 5.45, "dos_at_fermi_per_ev_cell": 1.39, "magnetic_moment_mub_per_fu": 0.0, "vol_a3_per_fu": 101.72}


Energies relative to the minimum, eV/atom: a 0.000; b 1.421


a:
{"formula": "LaNiOF2", "functional": "PBE+U", "state": "relaxed", "cell": [[3.988, 0.000, 0.000], [0.000, 3.988, 0.000], [0.000, 0.000, 4.117]], "species": ["La", "Ni", "O", "F", "F"], "frac_coords": [[0.000, 0.000, 0.000], [0.500, 0.500, 0.500], [0.500, 0.500, 0.000], [0.000, 0.500, 0.500], [0.500, 0.000, 0.500]], "density_g_cm3": 6.38, "dos_at_fermi_per_ev_cell": 3.94, "magnetic_moment_mub_per_fu": 1.5, "vol_a3_per_fu": 65.46}


b:
{"formula": "LaNiOF2", "functional": "PBE+U", "state": "relaxed", "cell": [[4.692, 0.000, 0.000], [0.000, 4.692, 0.000], [0.000, 0.000, 4.581]], "species": ["La", "Ni", "O", "F", "F"], "frac_coords": [[0.000, 0.000, 0.000], [0.500, 0.500, 0.500], [0.000, 0.000, 0.500], [0.000, 0.500, 0.000], [0.500, 0.000, 0.000]], "density_g_cm3": 4.14, "dos_at_fermi_per_ev_cell": 0.55, "magnetic_moment_mub_per_fu": 1.0, "vol_a3_per_fu": 100.84}


Energies relative to the minimum, eV/atom: a 0.000; b 0.119